# GGA-PBE LaReSi, relaxed
data_LaReSi
_cell_length_a 3.9334
_cell_length_b 3.9334
_cell_length_c 32.2132
_cell_angle_alpha 90.00
_cell_angle_beta 90.00
_cell_angle_gamma 120.00
_space_group_name_H-M_alt 'R -3 m'
_space_group_IT_number 166
_space_group_name_Hall '-R 3 2"'
loop_
_atom_site_label
_atom_site_type_symbol
_atom_site_fract_x
_atom_site_fract_y
_atom_site_fract_z
La1 La 0.0000 0.0000 0.1134
Re1 Re 0.0000 0.0000 0.3564
Si1 Si 0.0000 0.0000 0.2790
# formation energy (no corrections): -104 meV per atom
# D(E_F): 1.283 states/eV per atom